PmPr2Nd8 GGA-PBE optimized geometry; excess energy over the best structure of this formula in the dataset = 134 meV/atom; ΔH_f (0 K) = 0.1461 eV/atom; volume = 35.94 A^3/atom; spin magnetization = 0.000 μB per atom; density = 6.6 g cm⁻³
1.0
-3.369 0.438 -5.951
-3.159 -8.701 -4.988
-8.533 -5.893 -1.739
Nd Pr Pm
8 2 1
direct
0.269 0.410 0.410
0.769 0.175 0.650
0.173 0.755 0.755
0.827 0.245 0.245
0.231 0.825 0.350
0.731 0.590 0.590
0.231 0.350 0.825
0.769 0.650 0.175
0.410 0.199 0.199
0.590 0.801 0.801
0.000 0.000 0.000